# SiSb3P

A relaxed structure of SiSb3P (PBE-GGA, the Alexandria database).

Results
SG	Pm-3m
energy above the lowest structure with this stoichiometry	0.00	kcal/mol of atoms
energy	-3.780	eV per atom
energy relative to the elements, uncorrected	0.8598	eV/atom

Lattice parameters (Å, degrees): 5.174 5.174 5.174 90.00 90.00 90.00
Fractional coordinates of all 5 atoms:
Si (0.000, 0.000, 0.000)
Sb (0.000, 0.500, 0.500)
Sb (0.500, 0.000, 0.500)
Sb (0.500, 0.500, 0.000)
P (0.500, 0.500, 0.500)


# Tb5Tl2Tc

A relaxed structure of Tb5Tl2Tc (PBE-GGA, the Alexandria database).

Results
SG	Pbam
E_form	-1.8	eV/f.u.
energy	-5.001	eV per atom

Lattice parameters (Å, degrees): 6.813 12.662 5.019 90.00 90.00 90.00
Fractional coordinates of all 16 atoms:
Tb (0.000, 0.000, 0.000)
Tb (0.116, 0.288, 0.000)
Tb (0.173, 0.589, 0.500)
Tb (0.327, 0.089, 0.500)
Tb (0.384, 0.788, 0.000)
Tb (0.500, 0.500, 0.000)
Tb (0.616, 0.212, 0.000)
Tb (0.673, 0.911, 0.500)
Tb (0.827, 0.411, 0.500)
Tb (0.884, 0.712, 0.000)
Tl (0.120, 0.844, 0.500)
Tl (0.380, 0.344, 0.500)
Tl (0.620, 0.656, 0.500)
Tl (0.880, 0.156, 0.500)
Tc (0.000, 0.500, 0.000)
Tc (0.500, 0.000, 0.000)


# ZrTi2Pb2

A relaxed structure of ZrTi2Pb2 (PBE-GGA, the Alexandria database).

Results
SG	I4/mmm
energy above the lowest structure with this stoichiometry	2.10	kcal/mol of atoms
E_form	0.6	eV/f.u.
energy	-6.234	eV per atom

Lattice parameters (Å, degrees): 7.540 7.540 7.540 149.37 149.37 43.87
Fractional coordinates of all 5 atoms:
Zr (0.000, 0.000, 0.000)
Ti (0.250, 0.750, 0.500)
Ti (0.750, 0.250, 0.500)
Pb (0.396, 0.396, 0.000)
Pb (0.604, 0.604, 0.000)


# KRbHg2Au2

A relaxed structure of KRbHg2Au2 (PBE-GGA, the Alexandria database).

Results
SG	P-3m1
E_form	-1.7	eV/f.u.
energy	-1.821	eV per atom

Lattice parameters (Å, degrees): 4.999 4.999 8.906 90.00 90.00 120.00
Fractional coordinates of all 6 atoms:
K (0.000, 0.000, 0.000)
Rb (0.000, 0.000, 0.500)
Hg (0.333, 0.667, 0.235)
Hg (0.667, 0.333, 0.765)
Au (0.333, 0.667, 0.768)
Au (0.667, 0.333, 0.232)


# BaPtCl3

A relaxed structure of BaPtCl3 (PBE-GGA, the Alexandria database).

Results
SG	Pm-3m
energy above the lowest structure with this stoichiometry	18.80	kcal/mol of atoms
energy	-3.081	eV per atom
energy relative to the elements, uncorrected	-0.3804	eV/atom

Lattice parameters (Å, degrees): 5.963 5.963 5.963 90.00 90.00 90.00
Fractional coordinates of all 5 atoms:
Ba (0.000, 0.000, 0.000)
Pt (0.500, 0.500, 0.500)
Cl (0.000, 0.000, 0.500)
Cl (0.000, 0.500, 0.000)
Cl (0.500, 0.000, 0.000)


# ZnFe3C

A relaxed structure of ZnFe3C (PBE-GGA, the Alexandria database).

Results
SG	Pnma
energy above the lowest structure with this stoichiometry	1.48	kcal/mol of atoms
E_form	0.4	eV/f.u.
energy	-7.097	eV per atom

Lattice parameters (Å, degrees): 9.071 2.751 8.672 90.00 90.00 90.00
Fractional coordinates of all 20 atoms:
Zn (0.130, 0.250, 0.001)
Zn (0.370, 0.750, 0.501)
Zn (0.630, 0.250, 0.499)
Zn (0.870, 0.750, 0.999)
Fe (0.050, 0.750, 0.753)
Fe (0.122, 0.250, 0.494)
Fe (0.217, 0.750, 0.241)
Fe (0.283, 0.250, 0.741)
Fe (0.378, 0.750, 0.994)
Fe (0.450, 0.250, 0.253)
Fe (0.550, 0.750, 0.747)
Fe (0.622, 0.250, 0.006)
Fe (0.717, 0.750, 0.259)
Fe (0.783, 0.250, 0.759)
Fe (0.878, 0.750, 0.506)
Fe (0.950, 0.250, 0.247)
C (0.043, 0.750, 0.362)
C (0.457, 0.250, 0.862)
C (0.543, 0.750, 0.138)
C (0.957, 0.250, 0.638)


# In2W

A relaxed structure of In2W (PBE-GGA, the Alexandria database).

Results
SG	Cmcm
E_form	1.7	eV/f.u.
energy	-5.574	eV per atom

Lattice parameters (Å, degrees): 8.150 8.150 5.039 90.00 90.00 158.43
Fractional coordinates of all 6 atoms:
In (0.060, 0.940, 0.750)
In (0.372, 0.628, 0.750)
In (0.628, 0.372, 0.250)
In (0.940, 0.060, 0.250)
W (0.282, 0.718, 0.250)
W (0.718, 0.282, 0.750)


# HgTe2Rh

A relaxed structure of HgTe2Rh (PBE-GGA, the Alexandria database).

Results
SG	Immm
energy above the lowest structure with this stoichiometry	5.36	kcal/mol of atoms
energy	-3.524	eV per atom
energy relative to the elements, uncorrected	-0.0401	eV/atom

Lattice parameters (Å, degrees): 6.796 6.796 6.796 150.48 139.71 50.73
Fractional coordinates of all 4 atoms:
Hg (0.000, 0.000, 0.000)
Te (0.331, 0.831, 0.500)
Te (0.669, 0.169, 0.500)
Rh (0.500, 0.500, 0.000)


# LiTlZnGe

A relaxed structure of LiTlZnGe (PBE-GGA, the Alexandria database).

Results
SG	P1
energy above the lowest structure with this stoichiometry	1.26	kcal/mol of atoms
E_form	-0.1	eV/f.u.
energy	-2.563	eV per atom

Lattice parameters (Å, degrees): 3.334 4.354 6.550 78.76 89.93 67.53
Fractional coordinates of all 4 atoms:
Li (0.000, 0.000, 0.000)
Tl (0.245, 0.513, 0.677)
Zn (0.480, 0.039, 0.367)
Ge (0.744, 0.511, 0.225)


# ZnAgIr2

A relaxed structure of ZnAgIr2 (PBE-GGA, the Alexandria database).

Results
SG	Cmm2
E_form	0.8	eV/f.u.
energy	-5.264	eV per atom

Lattice parameters (Å, degrees): 2.766 2.766 9.355 90.00 90.00 120.31
Fractional coordinates of all 4 atoms:
Zn (0.000, 0.000, 0.000)
Ag (0.500, 0.500, 0.252)
Ir (0.000, 0.000, 0.520)
Ir (0.500, 0.500, 0.763)


# LaGa7Cu12

A relaxed structure of LaGa7Cu12 (PBE-GGA, the Alexandria database).

Results
SG	R-3m
E_form	-1.3	eV/f.u.
energy	-3.829	eV per atom

Lattice parameters (Å, degrees): 7.606 7.606 7.606 112.20 112.20 112.20
Fractional coordinates of all 20 atoms:
La (0.000, 0.000, 0.000)
Ga (0.197, 0.197, 0.544)
Ga (0.197, 0.544, 0.197)
Ga (0.456, 0.803, 0.803)
Ga (0.500, 0.500, 0.500)
Ga (0.544, 0.197, 0.197)
Ga (0.803, 0.456, 0.803)
Ga (0.803, 0.803, 0.456)
Cu (0.000, 0.273, 0.727)
Cu (0.000, 0.727, 0.273)
Cu (0.051, 0.394, 0.394)
Cu (0.273, 0.000, 0.727)
Cu (0.273, 0.727, 0.000)
Cu (0.394, 0.051, 0.394)
Cu (0.394, 0.394, 0.051)
Cu (0.606, 0.606, 0.949)
Cu (0.606, 0.949, 0.606)
Cu (0.727, 0.000, 0.273)
Cu (0.727, 0.273, 0.000)
Cu (0.949, 0.606, 0.606)


# ReB2Cl2

A relaxed structure of ReB2Cl2 (PBE-GGA, the Alexandria database).

Results
SG	P4/mbm
energy above the lowest structure with this stoichiometry	0.00	kcal/mol of atoms
energy	-4.677	eV per atom
energy relative to the elements, uncorrected	1.2227	eV/atom

Lattice parameters (Å, degrees): 6.090 6.090 4.341 90.00 90.00 90.00
Fractional coordinates of all 10 atoms:
Re (0.000, 0.000, 0.000)
Re (0.500, 0.500, 0.000)
B (0.249, 0.251, 0.000)
B (0.251, 0.751, 0.000)
B (0.749, 0.249, 0.000)
B (0.751, 0.749, 0.000)
Cl (0.249, 0.251, 0.500)
Cl (0.251, 0.751, 0.500)
Cl (0.749, 0.249, 0.500)
Cl (0.751, 0.749, 0.500)


# TaTeSe2N

A relaxed structure of TaTeSe2N (PBE-GGA, the Alexandria database).

Results
SG	P4/mmm
energy above the lowest structure with this stoichiometry	0.00	kcal/mol of atoms
energy	-6.002	eV per atom
energy relative to the elements, uncorrected	0.0557	eV/atom

Lattice parameters (Å, degrees): 5.228 5.228 3.910 90.00 90.00 90.00
Fractional coordinates of all 5 atoms:
Ta (0.000, 0.000, 0.000)
Te (0.500, 0.500, 0.500)
Se (0.000, 0.500, 0.000)
Se (0.500, 0.000, 0.000)
N (0.000, 0.000, 0.500)


# SbOF3

A relaxed structure of SbOF3 (PBE-GGA, the Alexandria database).

Results
SG	Imma
energy above the lowest structure with this stoichiometry	1.48	kcal/mol of atoms
energy	-4.830	eV per atom
energy relative to the elements, uncorrected	-1.8916	eV/atom

Lattice parameters (Å, degrees): 5.914 5.914 5.914 116.38 95.09 117.83
Fractional coordinates of all 10 atoms:
Sb (0.500, 0.000, 0.000)
Sb (0.500, 0.500, 0.500)
O (0.305, 0.055, 0.250)
O (0.695, 0.945, 0.750)
F (0.261, 0.000, 0.761)
F (0.261, 0.500, 0.261)
F (0.269, 0.519, 0.750)
F (0.731, 0.481, 0.250)
F (0.739, 0.000, 0.239)
F (0.739, 0.500, 0.739)


# La6TlRh2Br3

A relaxed structure of La6TlRh2Br3 (PBE-GGA, the Alexandria database).

Results
SG	C2/m
energy	-5.347	eV per atom
energy relative to the elements, uncorrected	-1.0431	eV/atom

Lattice parameters (Å, degrees): 10.246 10.246 9.404 107.30 107.30 23.96
Fractional coordinates of all 12 atoms:
La (0.022, 0.022, 0.263)
La (0.318, 0.318, 0.438)
La (0.334, 0.334, 0.869)
La (0.666, 0.666, 0.131)
La (0.682, 0.682, 0.562)
La (0.978, 0.978, 0.737)
Tl (0.500, 0.500, 0.000)
Rh (0.171, 0.171, 0.344)
Rh (0.829, 0.829, 0.656)
Br (0.163, 0.163, 0.842)
Br (0.500, 0.500, 0.500)
Br (0.837, 0.837, 0.158)


# TeRhC2

A relaxed structure of TeRhC2 (PBE-GGA, the Alexandria database).

Results
SG	I-42d
energy	-5.945	eV per atom
energy relative to the elements, uncorrected	1.2900	eV/atom

Lattice parameters (Å, degrees): 6.044 6.044 6.044 131.27 131.27 71.39
Fractional coordinates of all 8 atoms:
Te (0.000, 0.000, 0.000)
Te (0.750, 0.250, 0.500)
Rh (0.250, 0.750, 0.500)
Rh (0.500, 0.500, 0.000)
C (0.174, 0.625, 0.049)
C (0.375, 0.424, 0.549)
C (0.576, 0.125, 0.951)
C (0.875, 0.826, 0.451)


# SmY4Er4

A relaxed structure of SmY4Er4 (PBE-GGA, the Alexandria database).

Results
SG	P-1
energy above the lowest structure with this stoichiometry	3.60	kcal/mol of atoms
E_form	1.6	eV/f.u.
energy	-5.244	eV per atom

Lattice parameters (Å, degrees): 5.652 6.968 8.295 100.85 109.73 90.08
Fractional coordinates of all 9 atoms:
Sm (0.000, 0.000, 0.000)
Y (0.179, 0.469, 0.357)
Y (0.383, 0.814, 0.768)
Y (0.617, 0.186, 0.232)
Y (0.821, 0.531, 0.643)
Er (0.202, 0.986, 0.403)
Er (0.399, 0.299, 0.801)
Er (0.601, 0.701, 0.199)
Er (0.798, 0.014, 0.597)


# AcZnGeRh3

A relaxed structure of AcZnGeRh3 (PBE-GGA, the Alexandria database).

Results
SG	Cmcm
E_form	-2.7	eV/f.u.
energy	-5.797	eV per atom

Lattice parameters (Å, degrees): 6.854 6.854 6.026 90.00 90.00 123.10
Fractional coordinates of all 12 atoms:
Ac (0.212, 0.788, 0.750)
Ac (0.788, 0.212, 0.250)
Zn (0.471, 0.529, 0.750)
Zn (0.529, 0.471, 0.250)
Ge (0.121, 0.879, 0.250)
Ge (0.879, 0.121, 0.750)
Rh (0.209, 0.209, 0.000)
Rh (0.209, 0.209, 0.500)
Rh (0.318, 0.682, 0.250)
Rh (0.682, 0.318, 0.750)
Rh (0.791, 0.791, 0.000)
Rh (0.791, 0.791, 0.500)


# LaSnS4

A relaxed structure of LaSnS4 (PBE-GGA, the Alexandria database).

Results
SG	P2_1/c
energy	-5.077	eV per atom
energy relative to the elements, uncorrected	-0.8371	eV/atom

Lattice parameters (Å, degrees): 6.844 7.041 6.224 90.00 96.36 90.00
Fractional coordinates of all 12 atoms:
La (0.000, 0.000, 0.000)
La (0.000, 0.500, 0.500)
Sn (0.500, 0.000, 0.500)
Sn (0.500, 0.500, 0.000)
S (0.189, 0.166, 0.395)
S (0.189, 0.334, 0.895)
S (0.316, 0.722, 0.261)
S (0.316, 0.778, 0.761)
S (0.684, 0.222, 0.239)
S (0.684, 0.278, 0.739)
S (0.811, 0.666, 0.105)
S (0.811, 0.834, 0.605)


# TbDy2Tl

A relaxed structure of TbDy2Tl (PBE-GGA, the Alexandria database).

Results
SG	P4/mmm
energy above the lowest structure with this stoichiometry	0.51	kcal/mol of atoms
E_form	-0.7	eV/f.u.
energy	-4.214	eV per atom

Lattice parameters (Å, degrees): 3.618 3.618 9.140 90.00 90.00 90.00
Fractional coordinates of all 4 atoms:
Tb (0.000, 0.000, 0.000)
Dy (0.500, 0.500, 0.271)
Dy (0.500, 0.500, 0.729)
Tl (0.000, 0.000, 0.500)


# Na2BeCoH6

A relaxed structure of Na2BeCoH6 (PBE-GGA, the Alexandria database).

Results
SG	P-3m1
energy	-3.577	eV per atom

Lattice parameters (Å, degrees): 4.982 4.982 4.178 90.00 90.00 120.00
Fractional coordinates of all 10 atoms:
Na (0.333, 0.667, 0.223)
Na (0.667, 0.333, 0.777)
Be (0.000, 0.000, 0.500)
Co (0.000, 0.000, 0.000)
H (0.145, 0.290, 0.763)
H (0.145, 0.855, 0.763)
H (0.290, 0.145, 0.237)
H (0.710, 0.855, 0.763)
H (0.855, 0.145, 0.237)
H (0.855, 0.710, 0.237)


# TcRu2Br

A relaxed structure of TcRu2Br (PBE-GGA, the Alexandria database).

Results
SG	I-42d
energy above the lowest structure with this stoichiometry	11.24	kcal/mol of atoms
energy	-6.620	eV per atom
energy relative to the elements, uncorrected	1.0280	eV/atom

Lattice parameters (Å, degrees): 6.528 6.528 6.528 126.47 126.47 79.12
Fractional coordinates of all 8 atoms:
Tc (0.000, 0.000, 0.000)
Tc (0.750, 0.250, 0.500)
Ru (0.104, 0.625, 0.979)
Ru (0.375, 0.354, 0.479)
Ru (0.646, 0.125, 0.021)
Ru (0.875, 0.896, 0.521)
Br (0.250, 0.750, 0.500)
Br (0.500, 0.500, 0.000)


# Ca2HfOs2

A relaxed structure of Ca2HfOs2 (PBE-GGA, the Alexandria database).

Results
SG	P4/mbm
energy above the lowest structure with this stoichiometry	0.00	kcal/mol of atoms
E_form	0.8	eV/f.u.
energy	-7.126	eV per atom

Lattice parameters (Å, degrees): 6.805 6.805 4.888 90.00 90.00 90.00
Fractional coordinates of all 10 atoms:
Ca (0.172, 0.328, 0.000)
Ca (0.328, 0.828, 0.000)
Ca (0.672, 0.172, 0.000)
Ca (0.828, 0.672, 0.000)
Hf (0.000, 0.000, 0.500)
Hf (0.500, 0.500, 0.500)
Os (0.127, 0.627, 0.500)
Os (0.373, 0.127, 0.500)
Os (0.627, 0.873, 0.500)
Os (0.873, 0.373, 0.500)